Material: LaZr2Be
Method: DFT, PBE-GGA
State: relaxed

CIF file:
```
data_LaZr2Be
_chemical_formula_sum 'La4 Zr8 Be4'
_cell_length_a 4.2589
_cell_length_b 4.2589
_cell_length_c 20.4080
_cell_angle_alpha 90.00
_cell_angle_beta 90.00
_cell_angle_gamma 90.00
_symmetry_space_group_name_H-M 'I -4 2 d'
_symmetry_Int_Tables_number 122
_symmetry_space_group_name_Hall 'I -4 2bw'
loop_
_atom_site_label
_atom_site_fract_x
_atom_site_fract_y
_atom_site_fract_z
La1 0.0000 0.0000 0.0000
Zr1 0.2287 0.2500 0.6250
Be1 0.0000 0.0000 0.5000
```

Values from the calculation:
Magnetization, Bohr magnetons per cell: 0.00
Density, g/cm3: 5.9
Final energy, eV per cell: -95.30
ΔE_f, kJ/mol of atoms: 46

***

Material: LaZr2Be
Method: DFT, PBE-GGA
State: relaxed

CIF file:
```
data_LaZr2Be
_chemical_formula_sum 'La1 Zr2 Be1'
_cell_length_a 3.2925
_cell_length_b 3.2925
_cell_length_c 8.4563
_cell_angle_alpha 90.00
_cell_angle_beta 90.00
_cell_angle_gamma 90.00
_symmetry_space_group_name_H-M 'P 4 m m'
_symmetry_Int_Tables_number 99
loop_
_symmetry_equiv_pos_as_xyz
'x,y,z'
'-y,x,z'
'-x,-y,z'
'y,-x,z'
'-x,y,z'
'y,x,z'
'x,-y,z'
'-y,-x,z'
loop_
_atom_site_label
_atom_site_fract_x
_atom_site_fract_y
_atom_site_fract_z
La1 0.0000 0.0000 0.0000
Zr1 0.0000 0.0000 0.5870
Zr2 0.5000 0.5000 0.3403
Be1 0.5000 0.5000 0.7598
```

Values from the calculation:
Magnetization, Bohr magnetons per cell: 0.00
Density, g/cm3: 6.0
Final energy, eV per cell: -25.25
ΔE_f, kJ/mol of atoms: 12